[1]
Mg2CrIr, relaxed, DFT GGA-PBE; space-group type = P4mm, No. 99; crystal system = tetragonal; ΔE_f = -0.182 eV/f.u.; total magnetization = 0.250 μB per atom
1.0
2.932 0.000 0.000
0.000 2.932 0.000
0.000 0.000 7.783
Mg Cr Ir
2 1 1
direct
0.000 0.000 0.000
0.500 0.500 0.330
0.000 0.000 0.577
0.500 0.500 0.759

***

[2]
Mg2CrIr, relaxed, DFT GGA-PBE; space-group type = Cm, No. 8; crystal system = monoclinic; ΔE_f = 0.054 eV/f.u.; total magnetization = 0.821 μB per atom
1.0
5.134 -1.503 0.000
5.134 1.503 0.000
-1.963 0.000 4.317
Mg Cr Ir
2 1 1
direct
0.000 0.000 0.000
0.220 0.220 0.640
0.768 0.768 0.182
0.476 0.476 0.496

***

[3]
MgCr2Ir, relaxed, DFT GGA-PBE; space-group type = I4/mmm, No. 139; crystal system = tetragonal; ΔE_f = 0.849 eV/f.u.; total magnetization = 0.000 μB per atom
1.0
-1.792 1.792 4.221
1.792 -1.792 4.221
1.792 1.792 -4.221
Mg Cr Ir
1 2 1
direct
0.000 0.000 0.000
0.250 0.750 0.500
0.750 0.250 0.500
0.500 0.500 0.000

***

Q: Look up the ΔE_f of the second one.
A: 0.054 eV/f.u.

***

Q: Which formula does entry 3 have?
A: MgCr2Ir